The following is a PBE calculation of an optimized crystal structure of CuNiBMo, from OQMD via LeMat-Bulk.

Output
Crystal system = cubic
Total magnetization = 0.11 Bohr magnetons per cell
Uncorrected energy = -6.3761 eV per atom
Polymorph energy (0 for the lowest one) = 0.000 eV/atom
Space group = No. 216

a = 3.9924 Å, b = 3.9924 Å, c = 3.9924 Å
α = 60.00°, β = 60.00°, γ = 60.00°
Closest atoms and distances in Å follow each position.
Fractional coordinates of all 4 atoms:
Ni1 0.5000 0.5000 0.5000  4 Cu 2.44, 4 Mo 2.44
B1 0.0000 0.0000 0.0000  4 Mo 2.44, 4 Cu 2.44
Mo1 0.2500 0.2500 0.2500  4 B 2.44, 4 Ni 2.44
Cu1 0.7500 0.7500 0.7500  4 Ni 2.44, 4 B 2.44